Entry from Alexandria via LeMat-Bulk: a geometry-optimized Tb6PmSc structure (PBE).

```
Tb6PmSc
1.0
5.012 0.000 0.000
0.000 5.012 0.000
0.000 0.000 9.961
Tb Pm Sc
6 1 1
direct
0.000 0.000 0.000
0.000 0.000 0.500
0.000 0.500 0.243
0.000 0.500 0.757
0.500 0.000 0.243
0.500 0.000 0.757
0.500 0.500 0.500
0.500 0.500 0.000
```

## Properties
The value obtained for the size of the total moment is 0.0 μB/f.u. As for the space group: P4/mmm (123). Its energy of formation is 0.0340 eV per atom.

---

Entry from Alexandria via LeMat-Bulk: a geometry-optimized HgIrSe2 structure (PBE).

```
HgIrSe2
1.0
-3.326 3.326 4.804
3.326 -3.326 4.804
3.326 3.326 -4.804
Hg Ir Se
2 2 4
direct
0.000 0.000 0.000
0.750 0.250 0.500
0.250 0.750 0.500
0.500 0.500 0.000
0.192 0.625 0.067
0.375 0.442 0.567
0.558 0.125 0.933
0.875 0.808 0.433
```

## Properties
The value obtained for the size of the total moment is 0.0 μB/f.u. As for the space group: I-42d (122). As for the formation energy (no corrections): 0.05 eV/atom.

---

Entry from Alexandria via LeMat-Bulk: a geometry-optimized Pu2MgGa3Au4 structure (PBE).

```
Pu2MgGa3Au4
1.0
4.306 0.000 0.000
0.000 4.306 0.000
0.000 0.000 11.372
Pu Mg Ga Au
2 1 3 4
direct
0.000 0.500 0.237
0.500 0.000 0.763
0.000 0.000 0.500
0.000 0.500 0.867
0.500 0.000 0.133
0.500 0.500 0.500
0.000 0.000 0.000
0.000 0.500 0.644
0.500 0.000 0.356
0.500 0.500 0.000
```

## Properties
The value obtained for the size of the total moment is 11.5 μB/f.u. As for the space group: P-4m2 (115). Its energy of formation is -0.4221 eV per atom.

---

Entry from Alexandria via LeMat-Bulk: a geometry-optimized CrAuCl2 structure (PBE).

```
CrAuCl2
1.0
-1.870 1.870 6.081
1.870 -1.870 6.081
1.870 1.870 -6.081
Cr Au Cl
1 1 2
direct
0.000 0.000 0.000
0.250 0.750 0.500
0.500 0.500 0.000
0.750 0.250 0.500
```

## Properties
The value obtained for the size of the total moment is 4.6 μB/f.u. As for the space group: I-4m2 (119). As for the formation energy (no corrections): 0.02 eV/atom.

---

Q: What is the formula in the first record?
A: Tb6PmSc